4
Lattice="4.083 0.000 0.000 0.000 4.083 0.000 0.000 0.000 7.197" Properties=species:S:1:pos:R:3 comment="CaInPb2 PBE optimized geometry" final_energy_ev_per_cell=-13.0 magmom_total_mub_per_cell=0.0 dos_at_fermi_per_ev_fu=2.161 crystal_system=tetragonal pbc="T T T"
Pb 0.000 0.000 7.161
Pb 2.042 2.042 1.683
Ca 0.000 0.000 3.636
In 2.042 2.042 5.513